1.
{"formula": "LiCd2SnHg", "functional": "PBE", "state": "optimized geometry", "e_form_ev_per_atom": 0.349, "e_tot_ev_per_cell": -6.3, "magnetic_moment_mub_per_fu": 0.000, "polymorph_energy_ev_per_fu": 2.18, "lattice_angstrom": [[-2.191, -4.222, -2.333], [4.807, -1.700, -1.438], [0.431, -2.945, 4.924]], "species": ["Cd", "Cd", "Sn", "Hg", "Li"], "fractional_positions": [[0.500, 0.000, 0.000], [0.000, 0.500, 0.000], [0.000, 0.000, 0.500], [0.000, 0.000, 0.000], [0.500, 0.500, 0.500]]}

***

2.
{"formula": "LiCdSnHg", "functional": "PBE", "state": "optimized geometry", "e_form_ev_per_atom": -0.120, "e_tot_ev_per_cell": -7.6, "magnetic_moment_mub_per_fu": 0.000, "polymorph_energy_ev_per_fu": 0.16, "lattice_angstrom": [[5.039, 0.000, 0.000], [2.519, 4.363, 0.000], [2.519, 1.454, 4.114]], "species": ["Sn", "Li", "Hg", "Cd"], "fractional_positions": [[0.000, 0.000, 0.000], [0.250, 0.250, 0.250], [0.500, 0.500, 0.500], [0.750, 0.750, 0.750]]}

***

3.
{"formula": "LiCdSnHg", "functional": "PBE", "state": "optimized geometry", "e_form_ev_per_atom": -0.159, "e_tot_ev_per_cell": -7.8, "magnetic_moment_mub_per_fu": 0.000, "polymorph_energy_ev_per_fu": 0.00, "lattice_angstrom": [[4.462, 0.000, 0.000], [0.000, 4.382, 0.000], [0.000, 0.000, 4.519]], "species": ["Hg", "Sn", "Cd", "Li"], "fractional_positions": [[0.500, 0.292, 0.000], [0.500, 0.790, 0.500], [0.000, 0.290, 0.500], [0.000, 0.791, 0.000]]}

***

4.
{"formula": "Sr2LiCd4Hg3", "functional": "PBE", "state": "optimized geometry", "e_form_ev_per_atom": -0.310, "e_tot_ev_per_cell": -12.9, "magnetic_moment_mub_per_fu": 0.000, "lattice_angstrom": [[-3.069, 1.878, -2.808], [-1.038, -4.135, -1.631], [-9.196, -1.310, 9.174]], "species": ["Sr", "Hg", "Cd", "Cd", "Hg", "Cd", "Hg", "Sr", "Li", "Cd"], "fractional_positions": [[0.500, 0.000, 0.243], [0.000, 0.500, 0.146], [0.000, 0.500, 0.365], [0.000, 0.000, 0.000], [0.000, 0.000, 0.500], [0.500, 0.500, 0.000], [0.500, 0.000, 0.854], [0.000, 0.500, 0.757], [0.500, 0.500, 0.500], [0.500, 0.000, 0.635]]}